Entry 1:
Compound: CaMnCrF6
Source: the Alexandria database
Functional: PBE+U
Structure: optimized geometry

a = 5.632 Å, b = 5.632 Å, c = 9.184 Å
α = 90.00°, β = 90.00°, γ = 120.00°
Sites, in units of the cell vectors:
Ca 0.333 0.667 0.250
Ca 0.667 0.333 0.750
Mn 0.000 0.000 0.000
Mn 0.000 0.000 0.500
Cr 0.667 0.333 0.250
Cr 0.333 0.667 0.750
F 0.684 0.665 0.127
F 0.980 0.316 0.127
F 0.316 0.980 0.627
F 0.020 0.684 0.873
F 0.335 0.316 0.373
F 0.980 0.665 0.373
F 0.665 0.980 0.873
F 0.684 0.020 0.373
F 0.020 0.335 0.627
F 0.335 0.020 0.127
F 0.665 0.684 0.627
F 0.316 0.335 0.873

## Properties
* total moment: 1.0000 μB/atom
* DOS(E_F): 11.91 states/eV/cell
* symmetry: P-31c (163)
* final energy: -6.06 eV per atom

***

Entry 2:
Compound: CaMnCr2F
Source: the Alexandria database
Functional: PBE+U
Structure: optimized geometry

a = 5.989 Å, b = 4.101 Å, c = 5.989 Å
α = 90.00°, β = 90.00°, γ = 90.00°
Sites, in units of the cell vectors:
Cr 0.000 0.000 0.500
Cr 0.500 0.000 0.000
Ca 0.000 0.000 0.000
Mn 0.500 0.500 0.500
F 0.000 0.500 0.000

## Properties
* total moment: 3.0604 μB/atom
* DOS(E_F): 2.33 states/eV/cell
* symmetry: P4/mmm (123)
* final energy: -5.15 eV per atom

***

Entry 3:
Compound: CaCrNF2
Source: the Alexandria database
Functional: PBE+U
Structure: optimized geometry

a = 4.176 Å, b = 4.176 Å, c = 4.983 Å
α = 90.00°, β = 90.00°, γ = 90.00°
Sites, in units of the cell vectors:
Cr 0.500 0.500 0.500
Ca 0.000 0.000 0.000
N 0.000 0.000 0.500
F 0.000 0.500 0.000
F 0.500 0.000 0.000

## Properties
* total moment: 0.6000 μB/atom
* DOS(E_F): 1.14 states/eV/cell
* symmetry: P4/mmm (123)
* final energy: -5.46 eV per atom

***

Entry 4:
Compound: Ca5CrN4F2
Source: the Alexandria database
Functional: PBE+U
Structure: optimized geometry

a = 5.757 Å, b = 5.532 Å, c = 6.964 Å
α = 90.00°, β = 90.00°, γ = 121.36°
Sites, in units of the cell vectors:
Ca 0.080 0.367 0.218
Ca 0.413 0.000 0.500
Ca 0.080 0.367 0.782
Ca 0.713 0.633 0.782
Ca 0.713 0.633 0.218
Cr 0.419 0.000 0.000
N 0.619 0.000 0.225
N 0.619 0.000 0.775
N 0.376 0.320 0.000
N 0.055 0.680 0.000
F 0.966 0.613 0.500
F 0.353 0.387 0.500

## Properties
* total moment: 0.1667 μB/atom
* symmetry: Amm2 (38)
* final energy: -5.96 eV per atom

***

Entry 5:
Compound: CaCrNF2
Source: the Alexandria database
Functional: PBE+U
Structure: optimized geometry

a = 4.085 Å, b = 4.085 Å, c = 3.939 Å
α = 90.00°, β = 90.00°, γ = 90.00°
Sites, in units of the cell vectors:
Cr 0.000 0.000 0.000
Ca 0.500 0.500 0.500
N 0.000 0.000 0.500
F 0.000 0.500 0.000
F 0.500 0.000 0.000

## Properties
* total moment: 0.6000 μB/atom
* DOS(E_F): 1.49 states/eV/cell
* symmetry: P4/mmm (123)
* final energy: -6.05 eV per atom

***

Entry 6:
Compound: NaCaCrF6
Source: the Alexandria database
Functional: PBE+U
Structure: optimized geometry

a = 5.671 Å, b = 5.671 Å, c = 9.342 Å
α = 90.00°, β = 90.00°, γ = 120.00°
Sites, in units of the cell vectors:
Na 0.000 0.000 0.000
Na 0.000 0.000 0.500
Ca 0.333 0.667 0.250
Ca 0.667 0.333 0.750
Cr 0.667 0.333 0.250
Cr 0.333 0.667 0.750
F 0.664 0.621 0.136
F 0.957 0.336 0.136
F 0.336 0.957 0.636
F 0.043 0.664 0.864
F 0.379 0.336 0.364
F 0.957 0.621 0.364
F 0.621 0.957 0.864
F 0.664 0.043 0.364
F 0.043 0.379 0.636
F 0.379 0.043 0.136
F 0.621 0.664 0.636
F 0.336 0.379 0.864

## Properties
* total moment: 0.3333 μB/atom
* DOS(E_F): 0.00 states/eV/cell
* symmetry: P-31c (163)
* final energy: -5.61 eV per atom

***

Entry 7:
Compound: Na2CaCrF6
Source: the Alexandria database
Functional: PBE+U
Structure: optimized geometry

a = 5.632 Å, b = 5.813 Å, c = 8.633 Å
α = 90.00°, β = 92.40°, γ = 90.00°
Sites, in units of the cell vectors:
Na 0.020 0.947 0.241
Na 0.520 0.553 0.741
Na 0.980 0.053 0.759
Na 0.480 0.447 0.259
Ca 0.500 0.000 0.000
Ca 0.000 0.500 0.500
Cr 0.500 0.000 0.500
Cr 0.000 0.500 0.000
F 0.286 0.691 0.079
F 0.786 0.809 0.579
F 0.714 0.309 0.921
F 0.214 0.191 0.421
F 0.321 0.710 0.434
F 0.821 0.790 0.934
F 0.679 0.290 0.566
F 0.179 0.210 0.066
F 0.862 0.578 0.258
F 0.362 0.922 0.758
F 0.138 0.422 0.742
F 0.638 0.078 0.242

## Properties
* total moment: 0.4000 μB/atom
* DOS(E_F): 0.00 states/eV/cell
* symmetry: P2_1/c (14)
* final energy: -5.37 eV per atom

***

Entry 8:
Compound: CaCrNiF6
Source: the Alexandria database
Functional: PBE+U
Structure: optimized geometry

a = 5.008 Å, b = 5.008 Å, c = 10.031 Å
α = 90.00°, β = 90.00°, γ = 90.00°
Sites, in units of the cell vectors:
Ca 0.500 0.500 0.498
Ca 0.000 0.000 0.998
Cr 0.500 0.500 0.169
Cr 0.000 0.000 0.669
Ni 0.500 0.500 0.834
Ni 0.000 0.000 0.334
F 0.185 0.815 0.490
F 0.815 0.185 0.490
F 0.315 0.315 0.990
F 0.685 0.685 0.990
F 0.197 0.803 0.180
F 0.803 0.197 0.180
F 0.303 0.303 0.680
F 0.697 0.697 0.680
F 0.786 0.214 0.829
F 0.214 0.786 0.829
F 0.714 0.714 0.329
F 0.286 0.286 0.329

## Properties
* total moment: 0.6667 μB/atom
* DOS(E_F): 0.00 states/eV/cell
* symmetry: P4_2nm (102)
* final energy: -5.34 eV per atom